Entry 1:
Material: Mg3Cd2Ga3
Method: DFT, PBE
State: optimized geometry

Values from the calculation:
- crystal system = orthorhombic
- total DFT energy (no corrections) (eV per cell) = -32.45
- symmetry = No. 71
- density of states at the Fermi level (states/eV/atom) = 0.385

Lattice parameters (Å, degrees): 3.5290 4.7550 19.6191 90.00 90.00 90.00
Closest atoms and distances in Å follow each position.
Atoms (fractional coordinates):
Mg 0.0000 0.0000 0.0000  8 Ga 2.90-2.96
Mg 0.0000 0.5000 0.1242  6 Ga 2.96-3.01, 4 Cd 3.19-3.30
Mg 0.0000 0.5000 0.8758  6 Ga 2.96-3.01, 4 Cd 3.19-3.30
Mg 0.5000 0.0000 0.3758  6 Ga 2.96-3.01, 4 Cd 3.19-3.30
Mg 0.5000 0.0000 0.6242  6 Ga 2.96-3.01, 4 Cd 3.19-3.30
Mg 0.5000 0.5000 0.5000  8 Ga 2.90-2.96
Cd 0.0000 0.0000 0.2406  4 Cd 2.98, 2 Ga 2.99, 4 Mg 3.19-3.30
Cd 0.0000 0.0000 0.7594  4 Cd 2.98, 2 Ga 2.99, 4 Mg 3.19-3.30
Cd 0.5000 0.5000 0.2594  4 Cd 2.98, 2 Ga 2.99, 4 Mg 3.19-3.30
Cd 0.5000 0.5000 0.7406  4 Cd 2.98, 2 Ga 2.99, 4 Mg 3.19-3.30
Ga 0.0000 0.0000 0.5000  8 Mg 2.96-3.01, 4 Ga 3.31
Ga 0.0000 0.5000 0.3826  6 Mg 2.90-2.96, 2 Cd 2.99
Ga 0.0000 0.5000 0.6174  6 Mg 2.90-2.96, 2 Cd 2.99
Ga 0.5000 0.0000 0.1174  6 Mg 2.90-2.96, 2 Cd 2.99
Ga 0.5000 0.0000 0.8826  6 Mg 2.90-2.96, 2 Cd 2.99
Ga 0.5000 0.5000 0.0000  8 Mg 2.96-3.01, 4 Ga 3.31

=====

Entry 2:
Material: PmMnGa4Cu2
Method: DFT, PBE
State: optimized geometry

Values from the calculation:
- crystal system = trigonal
- total DFT energy (no corrections) (eV per cell) = -36.26
- symmetry = No. 166
- density of states at the Fermi level (states/eV/atom) = 0.463

Lattice parameters (Å, degrees): 9.3099 9.3099 9.3099 26.00 26.00 26.00
Closest atoms and distances in Å follow each position.
Atoms (fractional coordinates):
Pm 0.0000 0.0000 0.0000  6 Ga 3.05
Mn 0.5000 0.5000 0.5000  8 Ga 2.64
Ga 0.1278 0.1278 0.1278  3 Cu 2.54, 3 Mn 2.64
Ga 0.4022 0.4022 0.4022  3 Cu 2.55, 1 Mn 2.64
Ga 0.5978 0.5978 0.5978  3 Cu 2.55, 1 Mn 2.64
Ga 0.8722 0.8722 0.8722  3 Cu 2.54, 3 Mn 2.64
Cu 0.2349 0.2349 0.2349  6 Ga 2.54-2.55
Cu 0.7651 0.7651 0.7651  6 Ga 2.54-2.55